Entry 1:
Entry from Alexandria via LeMat-Bulk: an optimized crystal structure of Y2BiAu2 (PBEsol).

Computed properties:
For the density of states at the Fermi level, the calculation gives 6.2 states/eV per cell. As for the space group: No. 127. As for the volume: 118.4 Å³/f.u. As for the energy of formation: -846 meV/atom.

Cell lengths 7.842, 7.842, 3.849 Å; angles 90.00, 90.00, 90.00 degrees
Positions (direct):
Y: 0.168 0.332 0.000
Y: 0.332 0.832 0.000
Y: 0.668 0.168 0.000
Y: 0.832 0.668 0.000
Bi: 0.000 0.000 0.500
Bi: 0.500 0.500 0.500
Au: 0.126 0.626 0.500
Au: 0.374 0.126 0.500
Au: 0.626 0.874 0.500
Au: 0.874 0.374 0.500

Entry 2:
Entry from Alexandria via LeMat-Bulk: an optimized crystal structure of MgZr2Cl (PBEsol).

Computed properties:
For the density of states at the Fermi level, the calculation gives 4.4 states/eV per cell. The calculation puts the polymorph energy (0 for the lowest one) at 0.181 eV per atom. As for the space group: No. 119. As for the volume: 81.8 Å³/f.u. The value obtained for the uncorrected formation energy is 166 meV/atom.

Cell lengths 5.655, 5.655, 5.655 Å; angles 137.43, 137.43, 61.78 degrees
Positions (direct):
Mg: 0.000 0.000 0.000
Zr: 0.500 0.500 0.000
Zr: 0.750 0.250 0.500
Cl: 0.250 0.750 0.500

Entry 3:
Entry from Alexandria via LeMat-Bulk: an optimized crystal structure of Sc2H2Pd (PBEsol).

Computed properties:
For the density of states at the Fermi level, the calculation gives 2.5 states/eV per cell. As for the space group: No. 139. As for the volume: 60.7 Å³/f.u. The final energy is -5.924 eV per atom.

Cell lengths 6.158, 6.158, 6.158 Å; angles 149.29, 149.29, 43.99 degrees
Positions (direct):
Sc: 0.145 0.145 0.000
Sc: 0.855 0.855 0.000
H: 0.250 0.750 0.500
H: 0.750 0.250 0.500
Pd: 0.500 0.500 0.000

Entry 4:
Entry from Alexandria via LeMat-Bulk: an optimized crystal structure of TcRu2Pt (PBEsol).

Computed properties:
For the density of states at the Fermi level, the calculation gives 4.7 states/eV per cell. The calculation puts the polymorph energy (0 for the lowest one) at 0.047 eV per atom. As for the space group: No. 160. As for the volume: 55.4 Å³/f.u. As for the energy of formation: 26 meV/atom.

Cell lengths 8.966, 8.966, 8.966 Å; angles 17.26, 17.26, 17.26 degrees
Positions (direct):
Tc: 0.000 0.000 0.000
Ru: 0.495 0.495 0.495
Ru: 0.748 0.748 0.748
Pt: 0.247 0.247 0.247

Entry 5:
Entry from Alexandria via LeMat-Bulk: an optimized crystal structure of PrGa3 (PBEsol).

Computed properties:
For the density of states at the Fermi level, the calculation gives 2.0 states/eV per cell. As for the space group: No. 194. As for the volume: 80.4 Å³/f.u. As for the energy of formation: -629 meV/atom.

Cell lengths 6.413, 6.413, 4.514 Å; angles 90.00, 90.00, 120.00 degrees
Positions (direct):
Pr: 0.333 0.667 0.250
Pr: 0.667 0.333 0.750
Ga: 0.142 0.284 0.750
Ga: 0.142 0.858 0.750
Ga: 0.284 0.142 0.250
Ga: 0.716 0.858 0.750
Ga: 0.858 0.142 0.250
Ga: 0.858 0.716 0.250

Entry 6:
Entry from Alexandria via LeMat-Bulk: an optimized crystal structure of TaCd (PBEsol).

Computed properties:
For the density of states at the Fermi level, the calculation gives 1.8 states/eV per cell. As for the space group: No. 166. As for the volume: 37.0 Å³/f.u. As for the energy of formation: 322 meV/atom.

Cell lengths 5.324, 5.324, 5.324 Å; angles 31.69, 31.69, 31.69 degrees
Positions (direct):
Ta: 0.000 0.000 0.000
Cd: 0.500 0.500 0.500

Entry 7:
Entry from Alexandria via LeMat-Bulk: an optimized crystal structure of Be2ReMo (PBEsol).

Computed properties:
For the density of states at the Fermi level, the calculation gives 2.1 states/eV per cell. The calculation puts the polymorph energy (0 for the lowest one) at 0.277 eV per atom. As for the space group: No. 8. As for the volume: 46.4 Å³/f.u. As for the energy of formation: 61 meV/atom.

Cell lengths 4.640, 4.640, 4.286 Å; angles 106.97, 106.97, 31.86 degrees
Positions (direct):
Be: 0.000 0.000 0.000
Be: 0.695 0.695 0.300
Re: 0.446 0.446 0.463
Mo: 0.245 0.245 0.831

Entry 8:
Entry from Alexandria via LeMat-Bulk: an optimized crystal structure of KFeBW2 (PBEsol).

Computed properties:
For the density of states at the Fermi level, the calculation gives 6.9 states/eV per cell. As for the space group: No. 123. As for the volume: 76.3 Å³/f.u. As for the energy of formation: 1422 meV/atom.

Cell lengths 4.330, 4.330, 4.070 Å; angles 90.00, 90.00, 90.00 degrees
Positions (direct):
K: 0.000 0.000 0.000
Fe: 0.500 0.500 0.000
B: 0.500 0.500 0.500
W: 0.000 0.500 0.500
W: 0.500 0.000 0.500

Magnetic moment per entry: 0.00, 0.00, 0.00, 0.00, 0.00, 0.00, 0.00, 1.31 Bohr magnetons per cell